1.
The following is a PBE calculation of an optimized crystal structure of Tm6Te3PbS2, from the Alexandria database.

Formation energy (no corrections): -1308.2 meV/atom
Calculated total energy: -5.33 eV per atom
Fermi-level density of states: 5.9 states/eV per cell
Spin magnetization: 0.000 μB/f.u.

Geometry as POSCAR:
```
Tm6Te3PbS2
1.0
3.582 -6.185 0.000
3.582 6.185 0.000
-2.387 0.000 6.983
Tm Te Pb S
6 3 1 2
direct
0.072 0.428 0.782 Tm
0.215 0.215 0.211 Tm
0.428 0.072 0.782 Tm
0.572 0.928 0.218 Tm
0.785 0.785 0.789 Tm
0.928 0.572 0.218 Tm
0.000 0.000 0.500 Te
0.341 0.659 0.500 Te
0.659 0.341 0.500 Te
0.500 0.500 0.000 Pb
0.168 0.832 0.000 S
0.832 0.168 0.000 S
```

2.
The following is a PBE calculation of an optimized crystal structure of TaSbH2, from the Alexandria database.

Distance to the lowest polymorph of the same formula: 0.404 eV per atom
Calculated total energy: -5.31 eV per atom
Fermi-level density of states: 0.9 states/eV per cell
Spin magnetization: 0.000 μB/f.u.

Geometry as POSCAR:
```
TaSbH2
1.0
-2.446 2.446 4.417
2.446 -2.446 4.417
2.446 2.446 -4.417
Ta Sb H
2 2 4
direct
0.000 0.000 0.000 Ta
0.750 0.250 0.500 Ta
0.250 0.750 0.500 Sb
0.500 0.500 0.000 Sb
0.014 0.625 0.889 H
0.375 0.264 0.389 H
0.736 0.125 0.111 H
0.875 0.986 0.611 H
```

3.
The following is a PBE calculation of an optimized crystal structure of Er2TiAu6, from the Alexandria database.

Calculated total energy: -4.66 eV per atom
Formation energy: -0.59 eV per atom
Fermi-level density of states: 13.9 states/eV per cell
Spin magnetization: 0.000 μB/f.u.

Geometry as POSCAR:
```
Er2TiAu6
1.0
6.720 -5.346 0.000
6.720 5.346 0.000
-0.965 0.000 5.027
Er Ti Au
4 2 12
direct
0.043 0.288 0.078 Er
0.288 0.043 0.578 Er
0.712 0.957 0.422 Er
0.957 0.712 0.922 Er
0.380 0.620 0.750 Ti
0.620 0.380 0.250 Ti
0.085 0.795 0.480 Au
0.159 0.414 0.640 Au
0.205 0.915 0.020 Au
0.279 0.510 0.187 Au
0.414 0.159 0.140 Au
0.490 0.721 0.313 Au
0.510 0.279 0.687 Au
0.586 0.841 0.860 Au
0.721 0.490 0.813 Au
0.795 0.085 0.980 Au
0.841 0.586 0.360 Au
0.915 0.205 0.520 Au
```

4.
The following is a PBE calculation of an optimized crystal structure of LaY2Cl, from the Alexandria database.

Formation energy (no corrections): -204.9 meV/atom
Distance to the lowest polymorph of the same formula: 0.467 eV per atom
Calculated total energy: -5.13 eV per atom
Fermi-level density of states: 4.7 states/eV per cell
Spin magnetization: 0.000 μB/f.u.

Geometry as POSCAR:
```
LaY2Cl
1.0
5.845 0.000 0.000
0.000 5.845 0.000
0.000 0.000 3.558
La Y Cl
1 2 1
direct
0.000 0.000 0.000 La
0.000 0.500 0.500 Y
0.500 0.000 0.500 Y
0.500 0.500 0.000 Cl
```

5.
The following is a PBE calculation of an optimized crystal structure of Rb3Hg6Bi, from the Alexandria database.

Calculated total energy: -1.12 eV per atom
Formation energy: -0.26 eV per atom
Fermi-level density of states: 1.7 states/eV per cell
Spin magnetization: 0.000 μB/f.u.

Geometry as POSCAR:
```
Rb3Hg6Bi
1.0
6.858 3.960 2.278
-6.858 3.960 2.278
0.000 -7.919 2.278
Rb Hg Bi
3 6 1
direct
0.000 0.500 0.500 Rb
0.500 0.000 0.500 Rb
0.500 0.500 0.000 Rb
0.055 0.055 0.346 Hg
0.055 0.346 0.055 Hg
0.346 0.055 0.055 Hg
0.660 0.945 0.945 Hg
0.945 0.660 0.945 Hg
0.945 0.945 0.660 Hg
0.495 0.495 0.495 Bi
```

6.
The following is a PBE calculation of an optimized crystal structure of LaSb, from the Alexandria database.

Formation energy (no corrections): -664.4 meV/atom
Calculated total energy: -5.19 eV per atom
Spin magnetization: 0.000 μB/f.u.

Geometry as POSCAR:
```
LaSb
1.0
-4.976 4.976 4.976
4.976 -4.976 4.976
4.976 4.976 -4.976
La Sb
4 4
direct
0.000 0.000 0.312 La
0.000 0.312 0.000 La
0.312 0.000 0.000 La
0.688 0.688 0.688 La
0.000 0.000 0.679 Sb
0.000 0.679 0.000 Sb
0.321 0.321 0.321 Sb
0.679 0.000 0.000 Sb
```

7.
The following is a PBE calculation of an optimized crystal structure of Y2MnInSb, from the Alexandria database.

Formation energy (no corrections): 881.6 meV/atom
Calculated total energy: -4.91 eV per atom
Fermi-level density of states: 7.8 states/eV per cell
Spin magnetization: 3.800 μB/f.u.

Geometry as POSCAR:
```
Y2MnInSb
1.0
6.382 0.000 0.000
0.000 6.382 0.000
0.000 0.000 5.988
Y Mn In Sb
2 1 1 1
direct
0.000 0.500 0.000 Y
0.500 0.000 0.000 Y
0.000 0.000 0.500 Mn
0.500 0.500 0.500 In
0.500 0.500 0.000 Sb
```

8.
The following is a PBE calculation of an optimized crystal structure of TlNi2Br, from the Alexandria database.

Formation energy (no corrections): 163.0 meV/atom
Distance to the lowest polymorph of the same formula: 0.065 eV per atom
Calculated total energy: -3.74 eV per atom
Fermi-level density of states: 2.4 states/eV per cell
Spin magnetization: 0.000 μB/f.u.

Geometry as POSCAR:
```
TlNi2Br
1.0
4.580 -1.641 0.000
4.580 1.641 0.000
-4.216 0.000 5.634
Tl Ni Br
1 2 1
direct
0.000 0.000 0.000 Tl
0.343 0.343 0.153 Ni
0.657 0.657 0.847 Ni
0.000 0.000 0.500 Br
```